A plane-wave DFT calculation with PBE was carried out for Na2Ta3Se6 after structural relaxation.

Its crystal system is monoclinic. The value obtained for the magnetization is 0.0 μB per formula unit. The density comes out at 6944 kg/m3. Its formation energy from raw total energies is -867 meV/atom.

CIF file:
```
data_Na2Ta3Se6
_cell_length_a 6.140
_cell_length_b 10.945
_cell_length_c 7.762
_cell_angle_alpha 90.00
_cell_angle_beta 103.00
_cell_angle_gamma 90.00
_symmetry_space_group_name_H-M 'C 1 2/m 1'
_symmetry_Int_Tables_number 12
loop_
_symmetry_equiv_pos_as_xyz
'x,y,z'
'-x,-y,-z'
'-x,y,-z'
'x,-y,z'
'x+1/2,y+1/2,z'
'-x+1/2,-y+1/2,-z'
'-x+1/2,y+1/2,-z'
'x+1/2,-y+1/2,z'
loop_
_atom_site_label
_atom_site_type_symbol
_atom_site_fract_x
_atom_site_fract_y
_atom_site_fract_z
Na1 Na 0.000 0.176 0.000
Ta1 Ta 0.000 0.000 0.500
Ta2 Ta 0.000 0.368 0.500
Se1 Se 0.223 0.173 0.702
Se2 Se 0.245 0.500 0.740
```

---

A plane-wave DFT calculation with PBE was carried out for ZnOs2W after structural relaxation.

Its crystal system is tetragonal. The value obtained for the magnetization is 0.0 μB per formula unit. The density comes out at 17821 kg/m3. The formation energy comes out at 0.2656 eV per atom.

CIF file:
```
data_ZnOs2W
_cell_length_a 3.758
_cell_length_b 3.758
_cell_length_c 8.308
_cell_angle_alpha 90.00
_cell_angle_beta 90.00
_cell_angle_gamma 90.00
_symmetry_space_group_name_H-M 'I -4 m 2'
_symmetry_Int_Tables_number 119
_symmetry_space_group_name_Hall 'I -4 -2'
loop_
_atom_site_label
_atom_site_type_symbol
_atom_site_fract_x
_atom_site_fract_y
_atom_site_fract_z
Zn1 Zn 0.000 0.000 0.000
Os1 Os 0.000 0.000 0.500
Os2 Os 0.000 0.500 0.750
W1 W 0.000 0.500 0.250
```

---

A plane-wave DFT calculation with PBE was carried out for ZrV2Br after structural relaxation.

Its crystal system is cubic. The value obtained for the magnetization is 1.3 μB per formula unit. The density comes out at 6694 kg/m3. Its formation energy from raw total energies is 757 meV/atom.

CIF file:
```
data_ZrV2Br
_cell_length_a 6.471
_cell_length_b 6.471
_cell_length_c 6.471
_cell_angle_alpha 90.00
_cell_angle_beta 90.00
_cell_angle_gamma 90.00
_symmetry_space_group_name_H-M 'F m -3 m'
_symmetry_Int_Tables_number 225
_symmetry_space_group_name_Hall '-F 4 2 3'
loop_
_atom_site_label
_atom_site_type_symbol
_atom_site_fract_x
_atom_site_fract_y
_atom_site_fract_z
Zr1 Zr 0.000 0.000 0.000
V1 V 0.250 0.250 0.250
Br1 Br 0.000 0.000 0.500
```

---

A plane-wave DFT calculation with PBE was carried out for Be5Ni4Rh after structural relaxation.

Its crystal system is tetragonal. The value obtained for the magnetization is 0.0 μB per formula unit. The density comes out at 6796 kg/m3. The formation energy comes out at -0.4985 eV per atom.

CIF file:
```
data_Be5Ni4Rh
_cell_length_a 2.675
_cell_length_b 2.675
_cell_length_c 13.071
_cell_angle_alpha 90.00
_cell_angle_beta 90.00
_cell_angle_gamma 90.00
_symmetry_space_group_name_H-M 'P 4/m m m'
_symmetry_Int_Tables_number 123
_symmetry_space_group_name_Hall '-P 4 2'
loop_
_atom_site_label
_atom_site_type_symbol
_atom_site_fract_x
_atom_site_fract_y
_atom_site_fract_z
Be1 Be 0.000 0.000 0.000
Be2 Be 0.000 0.000 0.196
Be3 Be 0.000 0.000 0.393
Ni1 Ni 0.500 0.500 0.097
Ni2 Ni 0.500 0.500 0.292
Rh1 Rh 0.500 0.500 0.500
```